1.
# La2PmPt3

A relaxed structure of La2PmPt3 (PBE, Alexandria).

Cell and atoms, written as CIF:
```
data_La2PmPt3
_chemical_formula_sum 'La8 Pm4 Pt12'
_cell_length_a 13.955
_cell_length_b 13.301
_cell_length_c 7.337
_cell_angle_alpha 79.37
_cell_angle_beta 69.52
_cell_angle_gamma 31.12
_space_group_name_H-M_alt 'P 1'
_space_group_IT_number 1
loop_
_space_group_symop_operation_xyz
'x,y,z'
loop_
_atom_site_label
_atom_site_fract_x
_atom_site_fract_y
_atom_site_fract_z
_atom_site_occupancy
La1 0.042 0.042 0.208 1
La2 0.125 0.125 0.625 1
La3 0.208 0.208 0.042 1
La4 0.375 0.375 0.875 1
La5 0.625 0.625 0.125 1
La6 0.792 0.792 0.958 1
La7 0.875 0.875 0.375 1
La8 0.958 0.958 0.792 1
Pm1 0.292 0.292 0.458 1
Pm2 0.458 0.458 0.292 1
Pm3 0.542 0.542 0.708 1
Pm4 0.708 0.708 0.542 1
Pt1 0.041 0.541 0.212 1
Pt2 0.128 0.622 0.622 1
Pt3 0.212 0.706 0.041 1
Pt4 0.294 0.788 0.459 1
Pt5 0.378 0.872 0.872 1
Pt6 0.459 0.959 0.294 1
Pt7 0.541 0.041 0.706 1
Pt8 0.622 0.128 0.128 1
Pt9 0.706 0.212 0.541 1
Pt10 0.788 0.294 0.959 1
Pt11 0.872 0.378 0.378 1
Pt12 0.959 0.459 0.788 1
```

VASP energy	-6.589	eV per atom
crystal system	orthorhombic
energy of formation from the pure elements	-1135	meV per atom

***

2.
# CePm2Sb2

A relaxed structure of CePm2Sb2 (PBE, Alexandria).

Cell and atoms, written as CIF:
```
data_CePm2Sb2
_chemical_formula_sum 'Ce2 Pm4 Sb4'
_cell_length_a 8.167
_cell_length_b 8.167
_cell_length_c 6.100
_cell_angle_alpha 111.88
_cell_angle_beta 111.88
_cell_angle_gamma 97.12
_space_group_name_H-M_alt 'P 1'
_space_group_IT_number 1
loop_
_space_group_symop_operation_xyz
'x,y,z'
loop_
_atom_site_label
_atom_site_fract_x
_atom_site_fract_y
_atom_site_fract_z
_atom_site_occupancy
Ce1 0.108 0.892 0.750 1
Ce2 0.892 0.108 0.250 1
Pm1 0.225 0.430 0.046 1
Pm2 0.430 0.225 0.546 1
Pm3 0.570 0.775 0.454 1
Pm4 0.775 0.570 0.954 1
Sb1 0.164 0.836 0.250 1
Sb2 0.374 0.626 0.750 1
Sb3 0.626 0.374 0.250 1
Sb4 0.836 0.164 0.750 1
```

VASP energy	-5.364	eV per atom
crystal system	monoclinic
ΔE_f (raw)	-0.63	eV/atom

***

3.
# Er3Al2Hg6

A relaxed structure of Er3Al2Hg6 (PBE, Alexandria).

Cell and atoms, written as CIF:
```
data_Er3Al2Hg6
_chemical_formula_sum 'Er3 Al2 Hg6'
_cell_length_a 15.492
_cell_length_b 15.492
_cell_length_c 15.492
_cell_angle_alpha 164.31
_cell_angle_beta 164.31
_cell_angle_gamma 22.25
_space_group_name_H-M_alt 'P 1'
_space_group_IT_number 1
loop_
_space_group_symop_operation_xyz
'x,y,z'
loop_
_atom_site_label
_atom_site_fract_x
_atom_site_fract_y
_atom_site_fract_z
_atom_site_occupancy
Er1 0.000 0.000 0.000 1
Er2 0.171 0.171 0.000 1
Er3 0.829 0.829 0.000 1
Al1 0.362 0.362 0.000 1
Al2 0.638 0.638 0.000 1
Hg1 0.075 0.575 0.500 1
Hg2 0.272 0.272 0.000 1
Hg3 0.425 0.925 0.500 1
Hg4 0.575 0.075 0.500 1
Hg5 0.728 0.728 0.000 1
Hg6 0.925 0.425 0.500 1
```

VASP energy	-2.257	eV per atom
crystal system	tetragonal
energy of formation from the pure elements	-167	meV per atom

***

4.
# TaTl2Fe

A relaxed structure of TaTl2Fe (PBE, Alexandria).

Cell and atoms, written as CIF:
```
data_TaTl2Fe
_chemical_formula_sum 'Ta1 Tl2 Fe1'
_cell_length_a 5.373
_cell_length_b 5.373
_cell_length_c 5.373
_cell_angle_alpha 134.01
_cell_angle_beta 134.01
_cell_angle_gamma 67.07
_space_group_name_H-M_alt 'P 1'
_space_group_IT_number 1
loop_
_space_group_symop_operation_xyz
'x,y,z'
loop_
_atom_site_label
_atom_site_fract_x
_atom_site_fract_y
_atom_site_fract_z
_atom_site_occupancy
Ta1 0.000 0.000 0.000 1
Tl1 0.250 0.750 0.500 1
Tl2 0.750 0.250 0.500 1
Fe1 0.500 0.500 0.000 1
```

VASP energy	-5.481	eV per atom
crystal system	tetragonal
energy of formation from the pure elements	781	meV per atom
distance to the lowest polymorph of the same formula	0.422	eV/atom

***

5.
# LaFeBr

A relaxed structure of LaFeBr (PBE, Alexandria).

Cell and atoms, written as CIF:
```
data_LaFeBr
_chemical_formula_sum 'La1 Fe1 Br1'
_cell_length_a 4.478
_cell_length_b 4.478
_cell_length_c 4.478
_cell_angle_alpha 60.00
_cell_angle_beta 60.00
_cell_angle_gamma 60.00
_space_group_name_H-M_alt 'P 1'
_space_group_IT_number 1
loop_
_space_group_symop_operation_xyz
'x,y,z'
loop_
_atom_site_label
_atom_site_fract_x
_atom_site_fract_y
_atom_site_fract_z
_atom_site_occupancy
La1 0.000 0.000 0.000 1
Fe1 0.750 0.750 0.750 1
Br1 0.500 0.500 0.500 1
```

VASP energy	-4.941	eV per atom
crystal system	cubic
ΔE_f (raw)	0.08	eV/atom

***

6.
# MnNb2H2

A relaxed structure of MnNb2H2 (PBE, Alexandria).

Cell and atoms, written as CIF:
```
data_MnNb2H2
_chemical_formula_sum 'Mn2 Nb4 H4'
_cell_length_a 4.745
_cell_length_b 5.382
_cell_length_c 5.457
_cell_angle_alpha 97.45
_cell_angle_beta 112.83
_cell_angle_gamma 115.10
_space_group_name_H-M_alt 'P 1'
_space_group_IT_number 1
loop_
_space_group_symop_operation_xyz
'x,y,z'
loop_
_atom_site_label
_atom_site_fract_x
_atom_site_fract_y
_atom_site_fract_z
_atom_site_occupancy
Mn1 0.128 0.399 0.268 1
Mn2 0.872 0.601 0.732 1
Nb1 0.232 0.260 0.737 1
Nb2 0.417 0.084 0.238 1
Nb3 0.583 0.916 0.762 1
Nb4 0.768 0.740 0.263 1
H1 0.219 0.759 0.364 1
H2 0.330 0.695 0.956 1
H3 0.670 0.305 0.044 1
H4 0.781 0.241 0.636 1
```

VASP energy	-7.253	eV per atom
crystal system	triclinic
distance to the lowest polymorph of the same formula	0.105	eV/atom

***

7.
# LiCuBi2Te

A relaxed structure of LiCuBi2Te (PBE, Alexandria).

Cell and atoms, written as CIF:
```
data_LiCuBi2Te
_chemical_formula_sum 'Li1 Cu1 Bi2 Te1'
_cell_length_a 5.253
_cell_length_b 5.253
_cell_length_c 5.448
_cell_angle_alpha 90.00
_cell_angle_beta 90.00
_cell_angle_gamma 90.00
_space_group_name_H-M_alt 'P 1'
_space_group_IT_number 1
loop_
_space_group_symop_operation_xyz
'x,y,z'
loop_
_atom_site_label
_atom_site_fract_x
_atom_site_fract_y
_atom_site_fract_z
_atom_site_occupancy
Li1 0.000 0.000 0.000 1
Cu1 0.500 0.500 0.500 1
Bi1 0.000 0.500 0.500 1
Bi2 0.500 0.000 0.500 1
Te1 0.500 0.500 0.000 1
```

VASP energy	-3.179	eV per atom
crystal system	tetragonal
ΔE_f (raw)	0.20	eV/atom

***

8.
# Ac2ThTl

A relaxed structure of Ac2ThTl (PBE, Alexandria).

Cell and atoms, written as CIF:
```
data_Ac2ThTl
_chemical_formula_sum 'Ac2 Th1 Tl1'
_cell_length_a 12.974
_cell_length_b 12.974
_cell_length_c 12.974
_cell_angle_alpha 16.36
_cell_angle_beta 16.36
_cell_angle_gamma 16.36
_space_group_name_H-M_alt 'P 1'
_space_group_IT_number 1
loop_
_space_group_symop_operation_xyz
'x,y,z'
loop_
_atom_site_label
_atom_site_fract_x
_atom_site_fract_y
_atom_site_fract_z
_atom_site_occupancy
Ac1 0.093 0.093 0.093 1
Ac2 0.907 0.907 0.907 1
Th1 0.000 0.000 0.000 1
Tl1 0.500 0.500 0.500 1
```

VASP energy	-4.286	eV per atom
crystal system	trigonal
energy of formation from the pure elements	215	meV per atom
distance to the lowest polymorph of the same formula	0.295	eV/atom

***

9.
# Pm3NiC

A relaxed structure of Pm3NiC (PBE, Alexandria).

Cell and atoms, written as CIF:
```
data_Pm3NiC
_chemical_formula_sum 'Pm12 Ni4 C4'
_cell_length_a 8.580
_cell_length_b 6.283
_cell_length_c 9.110
_cell_angle_alpha 90.00
_cell_angle_beta 113.71
_cell_angle_gamma 90.00
_space_group_name_H-M_alt 'P 1'
_space_group_IT_number 1
loop_
_space_group_symop_operation_xyz
'x,y,z'
loop_
_atom_site_label
_atom_site_fract_x
_atom_site_fract_y
_atom_site_fract_z
_atom_site_occupancy
Pm1 0.098 0.062 0.362 1
Pm2 0.098 0.438 0.862 1
Pm3 0.204 0.596 0.556 1
Pm4 0.204 0.904 0.056 1
Pm5 0.377 0.111 0.771 1
Pm6 0.377 0.389 0.271 1
Pm7 0.623 0.611 0.729 1
Pm8 0.623 0.889 0.229 1
Pm9 0.796 0.096 0.944 1
Pm10 0.796 0.404 0.444 1
Pm11 0.902 0.562 0.138 1
Pm12 0.902 0.938 0.638 1
Ni1 0.428 0.650 0.919 1
Ni2 0.428 0.850 0.419 1
Ni3 0.572 0.150 0.581 1
Ni4 0.572 0.350 0.081 1
C1 0.087 0.246 0.607 1
C2 0.087 0.254 0.107 1
C3 0.913 0.746 0.893 1
C4 0.913 0.754 0.393 1
```

VASP energy	-5.967	eV per atom
crystal system	monoclinic
energy of formation from the pure elements	-116	meV per atom

***

10.
# Na6TlPd2

A relaxed structure of Na6TlPd2 (PBE, Alexandria).

Cell and atoms, written as CIF:
```
data_Na6TlPd2
_chemical_formula_sum 'Na6 Tl1 Pd2'
_cell_length_a 10.644
_cell_length_b 10.644
_cell_length_c 10.644
_cell_angle_alpha 28.01
_cell_angle_beta 28.01
_cell_angle_gamma 28.01
_space_group_name_H-M_alt 'P 1'
_space_group_IT_number 1
loop_
_space_group_symop_operation_xyz
'x,y,z'
loop_
_atom_site_label
_atom_site_fract_x
_atom_site_fract_y
_atom_site_fract_z
_atom_site_occupancy
Na1 0.075 0.075 0.075 1
Na2 0.209 0.209 0.209 1
Na3 0.312 0.312 0.312 1
Na4 0.688 0.688 0.688 1
Na5 0.791 0.791 0.791 1
Na6 0.925 0.925 0.925 1
Tl1 0.500 0.500 0.500 1
Pd1 0.411 0.411 0.411 1
Pd2 0.589 0.589 0.589 1
```

VASP energy	-2.379	eV per atom
crystal system	trigonal
energy of formation from the pure elements	-83	meV per atom

***

11.
# SrTl2InAs2

A relaxed structure of SrTl2InAs2 (PBE, Alexandria).

Cell and atoms, written as CIF:
```
data_SrTl2InAs2
_chemical_formula_sum 'Sr2 Tl4 In2 As4'
_cell_length_a 4.486
_cell_length_b 10.113
_cell_length_c 7.680
_cell_angle_alpha 90.00
_cell_angle_beta 90.00
_cell_angle_gamma 90.00
_space_group_name_H-M_alt 'P 1'
_space_group_IT_number 1
loop_
_space_group_symop_operation_xyz
'x,y,z'
loop_
_atom_site_label
_atom_site_fract_x
_atom_site_fract_y
_atom_site_fract_z
_atom_site_occupancy
Sr1 0.000 0.088 0.000 1
Sr2 0.000 0.912 0.500 1
Tl1 0.000 0.332 0.328 1
Tl2 0.000 0.668 0.828 1
Tl3 0.500 0.450 0.027 1
Tl4 0.500 0.550 0.527 1
In1 0.500 0.179 0.642 1
In2 0.500 0.821 0.142 1
As1 0.000 0.328 0.727 1
As2 0.000 0.672 0.227 1
As3 0.500 0.079 0.296 1
As4 0.500 0.921 0.796 1
```

VASP energy	-3.463	eV per atom
crystal system	orthorhombic
energy of formation from the pure elements	-388	meV per atom

***

12.
# BaMn2AlCl

A relaxed structure of BaMn2AlCl (PBE, Alexandria).

Cell and atoms, written as CIF:
```
data_BaMn2AlCl
_chemical_formula_sum 'Ba1 Mn2 Al1 Cl1'
_cell_length_a 4.849
_cell_length_b 4.849
_cell_length_c 6.938
_cell_angle_alpha 90.00
_cell_angle_beta 90.00
_cell_angle_gamma 90.00
_space_group_name_H-M_alt 'P 1'
_space_group_IT_number 1
loop_
_space_group_symop_operation_xyz
'x,y,z'
loop_
_atom_site_label
_atom_site_fract_x
_atom_site_fract_y
_atom_site_fract_z
_atom_site_occupancy
Ba1 0.000 0.000 0.000 1
Mn1 0.000 0.500 0.500 1
Mn2 0.500 0.000 0.500 1
Al1 0.000 0.000 0.500 1
Cl1 0.500 0.500 0.000 1
```

VASP energy	-5.035	eV per atom
crystal system	tetragonal
ΔE_f (raw)	0.14	eV/atom